Computed, not measured: a geometry-optimized Pr2Pu3Rh4 structure at the PBE level of DFT.

calculated volume = 22.6 A^3/atom
D(E_F) = 75.16 states/eV/cell
ΔE_f = -4.29 eV per formula unit

Cell and atoms, written as CIF:
```
data_Pr2Pu3Rh4
_chemical_formula_sum 'Pr8 Pu12 Rh16'
_cell_length_a 6.176
_cell_length_b 16.312
_cell_length_c 8.072
_cell_angle_alpha 90.00
_cell_angle_beta 90.00
_cell_angle_gamma 90.00
_space_group_name_H-M_alt 'C m c e'
_space_group_IT_number 64
_space_group_name_Hall '-C 2ac 2'
loop_
_atom_site_label
_atom_site_fract_x
_atom_site_fract_y
_atom_site_fract_z
Pr1 0.000 0.104 0.096
Pu1 0.000 0.000 0.500
Pu2 0.250 0.216 0.750
Rh1 0.000 0.172 0.455
Rh2 0.250 0.051 0.750
```

Computed, not measured: a geometry-optimized PaAg2Pd structure at the PBE level of DFT.

calculated volume = 20.2 A^3/atom
D(E_F) = 15.56 states/eV/cell
ΔE_f = 1.03 eV per formula unit

Cell and atoms, written as CIF:
```
data_PaAg2Pd
_chemical_formula_sum 'Pa3 Ag6 Pd3'
_cell_length_a 2.9352
_cell_length_b 2.9352
_cell_length_c 32.4544
_cell_angle_alpha 90.00
_cell_angle_beta 90.00
_cell_angle_gamma 120.00
_space_group_name_H-M_alt 'R -3 m'
_space_group_IT_number 166
_space_group_name_Hall '-R 3 2"'
loop_
_atom_site_label
_atom_site_fract_x
_atom_site_fract_y
_atom_site_fract_z
Pa1 0.0000 0.0000 0.0000
Ag1 0.0000 0.0000 0.0956
Pd1 0.0000 0.0000 0.5000
```

Computed, not measured: a geometry-optimized Al2TlPt structure at the PBE level of DFT.

calculated volume = 21.3 A^3/atom
D(E_F) = 2.11 states/eV/cell
ΔE_f = -1.07 eV per formula unit

Cell and atoms, written as CIF:
```
data_Al2TlPt
_chemical_formula_sum 'Al4 Tl2 Pt2'
_cell_length_a 8.697
_cell_length_b 3.446
_cell_length_c 6.048
_cell_angle_alpha 90.00
_cell_angle_beta 109.83
_cell_angle_gamma 90.00
_space_group_name_H-M_alt 'C 1 m 1'
_space_group_IT_number 8
loop_
_space_group_symop_operation_xyz
'x,y,z'
'x,-y,z'
'x+1/2,y+1/2,z'
'x+1/2,-y+1/2,z'
loop_
_atom_site_label
_atom_site_fract_x
_atom_site_fract_y
_atom_site_fract_z
Al1 0.000 0.000 0.000
Al2 0.203 0.000 0.673
Tl1 0.304 0.500 0.289
Pt1 0.499 0.000 0.707
```

Computed, not measured: a geometry-optimized CaBiPb structure at the PBE level of DFT.

calculated volume = 37.4 A^3/atom
D(E_F) = 4.61 states/eV/cell
ΔE_f = 0.39 eV per formula unit

Cell and atoms, written as CIF:
```
data_CaBiPb
_chemical_formula_sum 'Ca2 Bi2 Pb2'
_cell_length_a 3.574
_cell_length_b 3.574
_cell_length_c 17.554
_cell_angle_alpha 90.00
_cell_angle_beta 90.00
_cell_angle_gamma 90.00
_space_group_name_H-M_alt 'I 4 m m'
_space_group_IT_number 107
_space_group_name_Hall 'I 4 -2'
loop_
_atom_site_label
_atom_site_fract_x
_atom_site_fract_y
_atom_site_fract_z
Ca1 0.000 0.000 0.000
Bi1 0.000 0.000 0.817
Pb1 0.000 0.000 0.186
```

Computed, not measured: a geometry-optimized NdTlCd structure at the PBE level of DFT.

calculated volume = 31.7 A^3/atom
D(E_F) = 5.06 states/eV/cell
ΔE_f = 0.84 eV per formula unit

Cell and atoms, written as CIF:
```
data_NdTlCd
_chemical_formula_sum 'Nd2 Tl2 Cd2'
_cell_length_a 3.249
_cell_length_b 3.249
_cell_length_c 18.029
_cell_angle_alpha 90.00
_cell_angle_beta 90.00
_cell_angle_gamma 90.00
_space_group_name_H-M_alt 'I 4 m m'
_space_group_IT_number 107
_space_group_name_Hall 'I 4 -2'
loop_
_atom_site_label
_atom_site_fract_x
_atom_site_fract_y
_atom_site_fract_z
Nd1 0.000 0.000 0.000
Tl1 0.000 0.000 0.819
Cd1 0.000 0.000 0.177
```

Computed, not measured: a geometry-optimized CsGe2Ir structure at the PBE level of DFT.

calculated volume = 26.8 A^3/atom
D(E_F) = 8.80 states/eV/cell
ΔE_f = -0.65 eV per formula unit

Cell and atoms, written as CIF:
```
data_CsGe2Ir
_chemical_formula_sum 'Cs3 Ge6 Ir3'
_cell_length_a 4.1835
_cell_length_b 4.1835
_cell_length_c 21.1997
_cell_angle_alpha 90.00
_cell_angle_beta 90.00
_cell_angle_gamma 120.00
_space_group_name_H-M_alt 'R -3 m'
_space_group_IT_number 166
_space_group_name_Hall '-R 3 2"'
loop_
_atom_site_label
_atom_site_fract_x
_atom_site_fract_y
_atom_site_fract_z
Cs1 0.0000 0.0000 0.0000
Ge1 0.0000 0.0000 0.2042
Ir1 0.0000 0.0000 0.5000
```